! Cr2PdIO PBE with a Hubbard U optimized geometry; values from VASP
&SYSTEM
  ibrav = 0, nat = 5, ntyp = 4
/
ATOMIC_SPECIES
Cr 52.00 Cr.upf
Pd 106.42 Pd.upf
I 126.90 I.upf
O 16.00 O.upf
ATOMIC_POSITIONS crystal
Cr 0.000 0.500 0.000
Cr 0.500 0.000 0.000
Pd 0.000 0.000 0.000
I 0.000 0.000 0.500
O 0.500 0.500 0.500
CELL_PARAMETERS angstrom
5.231 0.000 0.000
0.000 5.231 0.000
0.000 0.000 5.016
! - VASP energy: -4.499 eV per atom
! - Space-group type: P4/mmm (123)